(a)
This record from Alexandria describes a relaxed structure of Hf2Ta2Si. The functional is PBE-GGA.

Summary:
N(E_F)   11.91 states/eV per cell
Mass density   11972 kg/m3

The structure in CIF format:
```
data_Hf2Ta2Si
_chemical_formula_sum 'Hf4 Ta4 Si2'
_cell_length_a 3.832
_cell_length_b 3.832
_cell_length_c 14.110
_cell_angle_alpha 90.00
_cell_angle_beta 90.00
_cell_angle_gamma 90.00
_space_group_name_H-M_alt 'I 4/m m m'
_space_group_IT_number 139
_space_group_name_Hall '-I 4 2'
loop_
_atom_site_label
_atom_site_fract_x
_atom_site_fract_y
_atom_site_fract_z
Hf1 0.000 0.500 0.250
Ta1 0.000 0.000 0.088
Si1 0.000 0.000 0.500
```


(b)
This record from Alexandria describes a relaxed structure of Hf2Ta2Si. The functional is PBE-GGA.

Summary:
N(E_F)   10.13 states/eV per cell
Mass density   12489 kg/m3

The structure in CIF format:
```
data_Hf2Ta2Si
_chemical_formula_sum 'Hf4 Ta4 Si2'
_cell_length_a 6.720
_cell_length_b 6.720
_cell_length_c 4.399
_cell_angle_alpha 90.00
_cell_angle_beta 90.00
_cell_angle_gamma 90.00
_space_group_name_H-M_alt 'P 4/m b m'
_space_group_IT_number 127
_space_group_name_Hall '-P 4 2ab'
loop_
_atom_site_label
_atom_site_fract_x
_atom_site_fract_y
_atom_site_fract_z
Hf1 0.166 0.334 0.000
Ta1 0.143 0.643 0.500
Si1 0.000 0.000 0.500
```


Relative energies, unit meV/atom: (a) 838; (b) 0